Entry from the Alexandria database: a relaxed Y2ScPd2 crystal (GGA-PBEsol).

a = 4.6196 Å, b = 4.6196 Å, c = 11.2078 Å
α = 90.00°, β = 90.00°, γ = 90.00°
With the nearest neighbours (Å) after each atom.
Space group I4/mmm (No. 139)
Asymmetric unit:
1 Y 0.0000 0.5000 0.2500 (multiplicity 4)  4 Pd 2.79
2 Sc 0.0000 0.0000 0.0000 (multiplicity 2)  8 Pd 3.50, 8 Y 3.63
3 Pd 0.0000 0.0000 0.3890 (multiplicity 4)  1 Pd 2.49, 4 Y 2.79

Output
Its formation energy is -0.338 eV per atom. For the excess energy over the best structure of this formula in the dataset, the calculation gives 0.377 eV/atom. The calculation puts the total energy at -67.71 eV for the cell shown. For the total moment, the calculation gives 0.0 Bohr magnetons per cell.

=====

Entry from the Alexandria database: a relaxed Y3ScPd crystal (GGA-PBEsol).

a = 5.1910 Å, b = 5.1910 Å, c = 5.1910 Å
α = 90.00°, β = 90.00°, γ = 90.00°
With the nearest neighbours (Å) after each atom.
Space group Pm-3m (No. 221)
Asymmetric unit:
1 Y 0.0000 0.0000 0.5000 (multiplicity 3)  2 Sc 2.60
2 Sc 0.0000 0.0000 0.0000 (multiplicity 1)  6 Y 2.60
3 Pd 0.5000 0.5000 0.5000 (multiplicity 1)  12 Y 3.67

Output
Its formation energy is 0.820 eV per atom. The calculation puts the total energy at -28.93 eV for the cell shown. For the total moment, the calculation gives 0.0 Bohr magnetons per cell.

=====

Entry from the Alexandria database: a relaxed ScZn2Pd crystal (GGA-PBEsol).

a = 6.2285 Å, b = 6.2285 Å, c = 6.2285 Å
α = 90.00°, β = 90.00°, γ = 90.00°
With the nearest neighbours (Å) after each atom.
Space group Fm-3m (No. 225)
Asymmetric unit:
1 Sc 0.0000 0.0000 0.0000 (multiplicity 4)  8 Zn 2.70
2 Zn 0.2500 0.2500 0.2500 (multiplicity 8)  4 Sc 2.70, 4 Pd 2.70
3 Pd 0.0000 0.0000 0.5000 (multiplicity 4)  8 Zn 2.70

Output
Its formation energy is -0.559 eV per atom. The calculation puts the total energy at -71.86 eV for the cell shown. For the total moment, the calculation gives 0.0 Bohr magnetons per cell.

=====

Entry from the Alexandria database: a relaxed ZrSc3Pd crystal (GGA-PBEsol).

a = 4.8912 Å, b = 4.8912 Å, c = 4.8912 Å
α = 90.00°, β = 90.00°, γ = 90.00°
With the nearest neighbours (Å) after each atom.
Space group Pm-3m (No. 221)
Asymmetric unit:
1 Zr 0.0000 0.0000 0.0000 (multiplicity 1)  6 Sc 2.45
2 Sc 0.0000 0.0000 0.5000 (multiplicity 3)  2 Zr 2.45
3 Pd 0.5000 0.5000 0.5000 (multiplicity 1)  12 Sc 3.46

Output
Its formation energy is 0.807 eV per atom. The calculation puts the total energy at -30.83 eV for the cell shown. For the total moment, the calculation gives 0.0 Bohr magnetons per cell.

=====

Entry from the Alexandria database: a relaxed PdSe2 crystal (GGA-PBEsol).

a = 3.9416 Å, b = 6.0236 Å, c = 6.1377 Å
α = 90.00°, β = 124.13°, γ = 90.00°
With the nearest neighbours (Å) after each atom.
Space group P2_1/c (No. 14)
Asymmetric unit:
1 Pd 0.0000 0.0000 0.0000 (multiplicity 2)  6 Se 2.52-2.68
2 Se 0.2085 0.1151 0.6963 (multiplicity 4)  1 Se 2.45, 3 Pd 2.52-2.68

Output
The uncorrected formation energy is -0.289 eV per atom. The calculation puts the total energy at -29.05 eV for the cell shown. For the total moment, the calculation gives 0.0 Bohr magnetons per cell.

=====

Entry from the Alexandria database: a relaxed PdSe crystal (GGA-PBEsol).

a = 11.5619 Å, b = 11.5619 Å, c = 6.9981 Å
α = 90.00°, β = 90.00°, γ = 90.00°
With the nearest neighbours (Å) after each atom.
Space group P4_2/mbc (No. 135)
Asymmetric unit:
1 Pd 0.0459 0.1286 0.0000 (multiplicity 8)  4 Se 2.45-2.46
2 Pd 0.1133 0.6133 0.2500 (multiplicity 8)  4 Se 2.43-2.44
3 Pd 0.1433 0.2692 0.5000 (multiplicity 8)  4 Se 2.40-2.45
4 Se 0.0963 0.4037 0.2500 (multiplicity 8)  4 Pd 2.40-2.43
5 Se 0.1098 0.8234 0.2240 (multiplicity 16)  4 Pd 2.44-2.46

Output
The uncorrected formation energy is -0.329 eV per atom. The calculation puts the total energy at -251.23 eV for the cell shown. For the total moment, the calculation gives 0.0 Bohr magnetons per cell.

=====

Entry from the Alexandria database: a relaxed Pd4Se crystal (GGA-PBEsol).

a = 5.2136 Å, b = 5.2136 Å, c = 5.6312 Å
α = 90.00°, β = 90.00°, γ = 90.00°
With the nearest neighbours (Å) after each atom.
Space group P-42_1c (No. 114)
Asymmetric unit:
1 Pd 0.1264 0.2680 0.1546 (multiplicity 8)  2 Se 2.45-2.48
2 Se 0.0000 0.0000 0.5000 (multiplicity 2)  8 Pd 2.45-2.48

Output
The uncorrected formation energy is -0.176 eV per atom. The calculation puts the total energy at -57.13 eV for the cell shown. For the total moment, the calculation gives 0.0 Bohr magnetons per cell.

=====

Entry from the Alexandria database: a relaxed PdSe crystal (GGA-PBEsol).

a = 6.7079 Å, b = 6.7079 Å, c = 6.9122 Å
α = 90.00°, β = 90.00°, γ = 90.00°
With the nearest neighbours (Å) after each atom.
Space group P4_2/m (No. 84)
Asymmetric unit:
1 Pd 0.0000 0.0000 0.2500 (multiplicity 2)  4 Se 2.44
2 Pd 0.0000 0.5000 0.0000 (multiplicity 2)  4 Se 2.43
3 Pd 0.2628 0.5282 0.5000 (multiplicity 4)  4 Se 2.44-2.45
4 Se 0.1955 0.3068 0.2284 (multiplicity 8)  4 Pd 2.43-2.45

Output
The uncorrected formation energy is -0.330 eV per atom. The calculation puts the total energy at -83.76 eV for the cell shown. For the total moment, the calculation gives 0.0 Bohr magnetons per cell.